No. 1
Here is a PBEsol-optimized structure of Mn3In2Sb3O14 from Alexandria via LeMat-Bulk. Energies are from SCAN.

Computed properties:
SG = C2/m, No. 12
Formation energy without anion corrections = -1.73 eV per atom

Unit cell a=7.0788 b=7.0788 c=7.0630 alpha=90.25 beta=120.90 gamma=118.89
Last column: magnetic moment on the atom in μB.
Fractional coordinates of all 22 atoms:
Sb 0.0000 0.0000 0.0000  -0.01
Sb 0.0000 0.0000 0.5000  0.00
Sb 0.5000 0.5000 0.5000  0.00
Mn 0.5000 0.5000 0.0000  2.21
Mn 0.0000 0.5000 0.5000  2.47
Mn 0.5000 0.0000 0.5000  -4.57
O 0.2591 0.1614 0.4206  -0.02
O 0.7409 0.8386 0.5794  -0.02
O 0.2514 0.5723 0.8237  0.04
O 0.7486 0.4277 0.1763  0.04
O 0.7333 0.1299 0.8632  0.00
O 0.2667 0.8701 0.1368  0.00
O 0.1575 0.8206 0.5892  -0.01
O 0.7686 0.4318 0.5892  -0.01
O 0.8425 0.1794 0.4108  -0.01
O 0.2314 0.5682 0.4108  -0.01
O 0.6638 0.5790 0.8401  0.00
O 0.2611 0.1763 0.8401  0.00
O 0.3362 0.4210 0.1599  0.00
O 0.7389 0.8237 0.1599  0.00
In 0.0000 0.5000 0.0000  0.00
In 0.5000 0.0000 0.0000  0.00

No. 2
Here is a PBEsol-optimized structure of Mn2InOs from Alexandria via LeMat-Bulk. Energies are from SCAN.

Computed properties:
SG = Cm, No. 8
Energy relative to the elements = 9.4 kJ/mol of atoms

Unit cell a=2.8091 b=4.6504 c=4.6596 alpha=101.61 beta=90.00 gamma=107.58
Last column: magnetic moment on the atom in μB.
Fractional coordinates of all 4 atoms:
In 0.7504 0.5009 0.2376  -0.12
Mn 0.9913 0.9826 0.9808  3.25
Mn 0.2469 0.4938 0.7383  2.42
Os 0.5114 0.0228 0.5433  -0.32

No. 3
Here is a PBEsol-optimized structure of Mn2InOs from Alexandria via LeMat-Bulk. Energies are from SCAN.

Computed properties:
SG = C2/m, No. 12
Energy relative to the elements = 34.7 kJ/mol of atoms

Unit cell a=2.8080 b=4.5977 c=4.7219 alpha=100.93 beta=90.00 gamma=107.78
Last column: magnetic moment on the atom in μB.
Fractional coordinates of all 4 atoms:
In 0.5000 0.0000 0.0000  -0.06
Mn 0.7405 0.4810 0.6922  2.36
Mn 0.2595 0.5190 0.3078  2.36
Os 0.0000 0.0000 0.5000  0.17

We obtain total DFT energy (no corrections) values of -16.302; -35.347; -35.085 eV per atom for the records listed above, in that order.